Material: Y2AgHPd6
Method: DFT, GGA-PBE
State: relaxed

Lattice parameters (Å, degrees): 5.5625 5.5731 7.0269 68.49 68.51 62.16
Last column: nearest neighbours and their distance in Å.
Sites, in units of the cell vectors:
Y (0.0000, 0.0000, 0.0000)  9 Pd 2.90-3.19, 1 Ag 3.14
Y (0.4912, 0.4884, 0.3774)  9 Pd 2.90-3.19, 1 Ag 3.14
Ag (0.2454, 0.2441, 0.1890)  6 Pd 2.65-2.72
H (0.7467, 0.7462, 0.6945)  6 Pd 1.92-2.08
Pd (0.0752, 0.5634, 0.8265)  1 H 2.01
Pd (0.4160, 0.9246, 0.5510)  1 H 2.07
Pd (0.5434, 0.5422, 0.9227)  1 H 1.92
Pd (0.5626, 0.0753, 0.8259)  1 H 2.01
Pd (0.9281, 0.4131, 0.5517)  1 H 2.08
Pd (0.9473, 0.9456, 0.4542)  1 H 1.93



Material: Rb4Ce3PaS8
Method: DFT, GGA-PBE
State: relaxed

## Properties
Raw formation energy in kJ/mol of atoms: -160.8

Lattice parameters (Å, degrees): 8.4216 8.4216 9.1110 117.58 117.58 59.91
Last column: nearest neighbours and their distance in Å.
Sites, in units of the cell vectors:
Rb (0.0000, 0.0000, 0.0000)  6 S 3.44
Rb (0.0000, 0.5000, 0.0000)  6 S 3.35-3.36
Rb (0.5000, 0.0000, 0.0000)  6 S 3.35-3.36
Rb (0.5000, 0.5000, 0.0000)  6 S 3.35-3.36
Ce (0.0000, 0.0000, 0.5000)  6 S 2.87-2.89
Ce (0.0000, 0.5000, 0.5000)  6 S 2.87-2.90
Ce (0.5000, 0.0000, 0.5000)  6 S 2.87-2.90
Pa (0.5000, 0.5000, 0.5000)  6 S 2.79
S (0.2328, 0.2328, 0.6983)  3 Ce 2.87
S (0.2431, 0.7262, 0.6955)  1 Pa 2.79, 2 Ce 2.89-2.90
S (0.2737, 0.2737, 0.3045)  1 Pa 2.79, 2 Ce 2.89
S (0.2738, 0.7569, 0.3045)  1 Pa 2.79, 2 Ce 2.89-2.90
S (0.7262, 0.2431, 0.6955)  1 Pa 2.79, 2 Ce 2.89-2.90
S (0.7263, 0.7263, 0.6955)  1 Pa 2.79, 2 Ce 2.89
S (0.7569, 0.2738, 0.3045)  1 Pa 2.79, 2 Ce 2.89-2.90
S (0.7672, 0.7672, 0.3017)  3 Ce 2.87



Material: NaAc6Te8
Method: DFT, GGA-PBE
State: relaxed

## Properties
Energy relative to the lowest polymorph listed for this composition in meV per atom: 143
Raw formation energy in kJ/mol of atoms: -129.2

Lattice parameters (Å, degrees): 12.9641 12.9641 4.8239 90.00 90.00 120.00
Last column: nearest neighbours and their distance in Å.
Sites, in units of the cell vectors:
Na (0.0000, 0.0000, 0.0000)  6 Te 4.64, 2 Na 4.82
Ac (0.1420, 0.6621, 0.2508)  6 Te 3.31-3.44
Ac (0.3379, 0.4800, 0.2508)  6 Te 3.31-3.44
Ac (0.4800, 0.1420, 0.7492)  6 Te 3.31-3.44
Ac (0.5200, 0.8580, 0.2508)  6 Te 3.31-3.44
Ac (0.6621, 0.5200, 0.7492)  6 Te 3.31-3.44
Ac (0.8580, 0.3379, 0.7492)  6 Te 3.31-3.44
Te (0.0453, 0.3661, 0.2489)  4 Ac 3.31-3.39
Te (0.3207, 0.9547, 0.2489)  4 Ac 3.31-3.39
Te (0.3333, 0.6667, 0.7507)  6 Ac 3.44
Te (0.3661, 0.3207, 0.7511)  4 Ac 3.31-3.39
Te (0.6339, 0.6793, 0.2489)  4 Ac 3.31-3.39
Te (0.6667, 0.3333, 0.2493)  6 Ac 3.44
Te (0.6793, 0.0453, 0.7511)  4 Ac 3.31-3.39
Te (0.9547, 0.6339, 0.7511)  4 Ac 3.31-3.39



Material: Ca2Tb4Y5
Method: DFT, GGA-PBE
State: relaxed

Lattice parameters (Å, degrees): 7.1044 7.1044 10.5953 119.67 119.67 58.48
Last column: nearest neighbours and their distance in Å.
Sites, in units of the cell vectors:
Ca (0.0873, 0.0873, 0.2961)  4 Tb 3.38-3.62, 4 Y 3.48-3.66
Ca (0.9127, 0.9127, 0.7039)  4 Tb 3.38-3.62, 4 Y 3.48-3.66
Tb (0.2243, 0.2243, 0.0185)  5 Y 3.33-3.68, 1 Ca 3.38, 2 Tb 3.59
Tb (0.4154, 0.4154, 0.6422)  7 Y 3.31-3.70, 3 Ca 3.53-3.62
Tb (0.5846, 0.5846, 0.3578)  7 Y 3.31-3.70, 3 Ca 3.53-3.62
Tb (0.7757, 0.7757, 0.9815)  5 Y 3.33-3.68, 1 Ca 3.38, 2 Tb 3.59
Y (0.0711, 0.6076, 0.3302)  2 Y 3.22-3.54, 3 Tb 3.33-3.43, 1 Ca 3.48
Y (0.3924, 0.9289, 0.6698)  2 Y 3.22-3.54, 3 Tb 3.33-3.43, 1 Ca 3.48
Y (0.5000, 0.5000, 0.0000)  4 Tb 3.31-3.53
Y (0.6076, 0.0711, 0.3302)  2 Y 3.22-3.54, 3 Tb 3.33-3.43, 1 Ca 3.48
Y (0.9289, 0.3924, 0.6698)  2 Y 3.22-3.54, 3 Tb 3.33-3.43, 1 Ca 3.48



Material: GaGeC3
Method: DFT, GGA-PBE
State: relaxed

## Properties
Energy relative to the lowest polymorph listed for this composition in meV per atom: 151

Lattice parameters (Å, degrees): 4.0405 4.0405 4.0405 90.00 90.00 90.00
Last column: nearest neighbours and their distance in Å.
Sites, in units of the cell vectors:
Ga (0.0000, 0.0000, 0.0000)  6 C 2.02
Ge (0.5000, 0.5000, 0.5000)  12 C 2.86
C (0.0000, 0.0000, 0.5000)  2 Ga 2.02
C (0.0000, 0.5000, 0.0000)  2 Ga 2.02
C (0.5000, 0.0000, 0.0000)  2 Ga 2.02



Material: SrOs3C
Method: DFT, GGA-PBE
State: relaxed

## Properties
Energy relative to the lowest polymorph listed for this composition in meV per atom: 4197

Lattice parameters (Å, degrees): 4.9420 4.9420 4.9420 90.00 90.00 90.00
Last column: nearest neighbours and their distance in Å.
Sites, in units of the cell vectors:
Sr (0.0000, 0.0000, 0.0000)  6 Os 2.47
Os (0.0000, 0.0000, 0.5000)  2 Sr 2.47
Os (0.0000, 0.5000, 0.0000)  2 Sr 2.47
Os (0.5000, 0.0000, 0.0000)  2 Sr 2.47
C (0.5000, 0.5000, 0.5000)  12 Os 3.49



Material: La2Sc2Sb
Method: DFT, GGA-PBE
State: relaxed

## Properties
Energy relative to the lowest polymorph listed for this composition in meV per atom: 0
Raw formation energy in kJ/mol of atoms: -31.3

Lattice parameters (Å, degrees): 7.7268 7.7268 4.9015 90.00 90.00 90.00
Last column: nearest neighbours and their distance in Å.
Sites, in units of the cell vectors:
La (0.1590, 0.3410, 0.0000)  6 Sc 3.27-3.39, 1 La 3.47
La (0.3410, 0.8410, 0.0000)  6 Sc 3.27-3.39, 1 La 3.47
La (0.6590, 0.1590, 0.0000)  6 Sc 3.27-3.39, 1 La 3.47
La (0.8410, 0.6590, 0.0000)  6 Sc 3.27-3.39, 1 La 3.47
Sc (0.1429, 0.6429, 0.5000)  2 Sb 2.97, 1 Sc 3.12, 2 La 3.27
Sc (0.3571, 0.1429, 0.5000)  2 Sb 2.97, 1 Sc 3.12, 2 La 3.27
Sc (0.6429, 0.8571, 0.5000)  2 Sb 2.97, 1 Sc 3.12, 2 La 3.27
Sc (0.8571, 0.3571, 0.5000)  2 Sb 2.97, 1 Sc 3.12, 2 La 3.27
Sb (0.0000, 0.0000, 0.5000)  4 Sc 2.97
Sb (0.5000, 0.5000, 0.5000)  4 Sc 2.97



Material: SrAc5Te6
Method: DFT, GGA-PBE
State: relaxed

## Properties
Raw formation energy in kJ/mol of atoms: -147.0

Lattice parameters (Å, degrees): 8.1958 8.1958 8.1945 99.57 99.57 120.09
Last column: nearest neighbours and their distance in Å.
Sites, in units of the cell vectors:
Sr (0.0000, 0.0000, 0.0000)  6 Te 3.30-3.31
Ac (0.1679, 0.8321, 0.5000)  6 Te 3.34-3.37
Ac (0.3336, 0.6664, 0.0000)  6 Te 3.35
Ac (0.5000, 0.5000, 0.5000)  6 Te 3.34-3.38
Ac (0.6664, 0.3336, 0.0000)  6 Te 3.35
Ac (0.8321, 0.1679, 0.5000)  6 Te 3.34-3.37
Te (0.0823, 0.4117, 0.2477)  1 Sr 3.31, 5 Ac 3.34-3.37
Te (0.2462, 0.2462, 0.7519)  1 Sr 3.30, 5 Ac 3.35-3.38
Te (0.4117, 0.0823, 0.2477)  1 Sr 3.31, 5 Ac 3.34-3.37
Te (0.5883, 0.9177, 0.7523)  1 Sr 3.31, 5 Ac 3.34-3.37
Te (0.7538, 0.7538, 0.2481)  1 Sr 3.30, 5 Ac 3.35-3.38
Te (0.9177, 0.5883, 0.7523)  1 Sr 3.31, 5 Ac 3.34-3.37



Material: HfIn2Br
Method: DFT, GGA-PBE
State: relaxed

## Properties
Energy relative to the lowest polymorph listed for this composition in meV per atom: 0
Raw formation energy in kJ/mol of atoms: 20.8

Lattice parameters (Å, degrees): 7.3291 7.3291 7.3291 97.35 97.35 138.08
Last column: nearest neighbours and their distance in Å.
Sites, in units of the cell vectors:
Hf (0.0000, 0.0000, 0.0000)  2 Br 2.62
Hf (0.7500, 0.2500, 0.5000)  2 Br 2.62
In (0.0427, 0.6250, 0.9177)  2 Hf 2.99, 2 In 3.07
In (0.3750, 0.2927, 0.4177)  2 Hf 2.99, 2 In 3.07
In (0.7073, 0.1250, 0.0823)  2 Hf 2.99, 2 In 3.07
In (0.8750, 0.9573, 0.5823)  2 Hf 2.99, 2 In 3.07
Br (0.2500, 0.7500, 0.5000)  2 Hf 2.62
Br (0.5000, 0.5000, 0.0000)  2 Hf 2.62



Material: Ge2Ru2O
Method: DFT, GGA-PBE
State: relaxed

## Properties
Energy relative to the lowest polymorph listed for this composition in meV per atom: 0
Raw formation energy in kJ/mol of atoms: 8.1

Lattice parameters (Å, degrees): 6.7301 6.7301 3.1097 90.00 90.00 90.00
Last column: nearest neighbours and their distance in Å.
Sites, in units of the cell vectors:
Ge (0.1461, 0.3539, 0.0000)  6 Ru 2.46-2.55
Ge (0.3539, 0.8539, 0.0000)  6 Ru 2.46-2.55
Ge (0.6461, 0.1461, 0.0000)  6 Ru 2.46-2.55
Ge (0.8539, 0.6461, 0.0000)  6 Ru 2.46-2.55
Ru (0.1542, 0.6542, 0.5000)  6 Ge 2.46-2.55, 2 O 2.55
Ru (0.3458, 0.1542, 0.5000)  6 Ge 2.46-2.55, 2 O 2.55
Ru (0.6542, 0.8458, 0.5000)  6 Ge 2.46-2.55, 2 O 2.55
Ru (0.8458, 0.3458, 0.5000)  6 Ge 2.46-2.55, 2 O 2.55
O (0.0000, 0.0000, 0.5000)  4 Ru 2.55
O (0.5000, 0.5000, 0.5000)  4 Ru 2.55



Material: BaCaCr2
Method: DFT, GGA-PBE
State: relaxed

## Properties
Energy relative to the lowest polymorph listed for this composition in meV per atom: 106

Lattice parameters (Å, degrees): 6.3181 6.3181 6.3181 143.69 126.78 66.13
Last column: nearest neighbours and their distance in Å.
Sites, in units of the cell vectors:
Ba (0.0000, 0.0000, 0.0000)  8 Cr 3.50-3.71, 4 Ca 3.53-3.74
Ca (0.3005, 0.8005, 0.5000)  4 Ba 3.53-3.74, 8 Cr 3.53-3.71, 2 Ca 3.94
Cr (0.5970, 0.5970, 0.0000)  2 Cr 2.40
Cr (0.7269, 0.2269, 0.5000)  2 Cr 2.40



Material: SrLuPt
Method: DFT, GGA-PBE
State: relaxed

Lattice parameters (Å, degrees): 7.0581 7.0581 7.0581 150.47 150.47 42.25
Last column: nearest neighbours and their distance in Å.
Sites, in units of the cell vectors:
Sr (0.0000, 0.0000, 0.0000)  4 Pt 3.32, 1 Lu 3.41, 4 Sr 3.60
Lu (0.2586, 0.2586, 0.0000)  4 Pt 2.85
Pt (0.6616, 0.6616, 0.0000)  4 Lu 2.85



Per-record final energy, eV/f.u.: -55.65, -90.85, -71.19, -52.45, -21.65, -19.71, -28.26, -59.36, -16.24, -32.33, -20.79, -14.45